The following is a DFT calculation (GGA-PBE) of an optimized crystal structure of CaMgSiAu.

Cell lengths 4.8791, 4.8791, 4.8791 Å; angles 60.00, 60.00, 60.00 degrees
With the nearest neighbours (Å) after each atom.
Positions (direct):
Au 0.2500 0.2500 0.2500  4 Ca 2.99, 4 Mg 2.99
Mg 0.0000 0.0000 0.0000  4 Au 2.99, 4 Si 2.99
Ca 0.5000 0.5000 0.5000  4 Si 2.99, 4 Au 2.99
Si 0.7500 0.7500 0.7500  4 Ca 2.99, 4 Mg 2.99

Values from the calculation:
- total moment (μB/cell) = 0.00
- formation energy from raw total energies (meV per atom) = -379
- uncorrected energy (eV/atom) = -3.453